Record 1
VASP calculation (PBE) on an optimized crystal structure of HfTa2Ga2.

Unit cell a=7.085 b=7.085 c=3.490 alpha=90.00 beta=90.00 gamma=90.00
Space group P4/mbm (No. 127)
Unique sites:
Hf 0.000 0.000 0.000 x2
Ta 0.174 0.326 0.500 x4
Ga 0.125 0.625 0.000 x4

## Properties
Electronic total energy   -8.249 eV/atom
Formation energy   -0.307 eV/atom
Crystal system   tetragonal
Offset from the most stable computed form   0 meV per atom
Calculated volume   17.519 A^3/atom


Record 2
VASP calculation (PBE) on an optimized crystal structure of Hf2Ta3Ga5.

Unit cell a=10.367 b=13.474 c=5.364 alpha=90.00 beta=90.00 gamma=90.00
Space group Ibam (No. 72)
Unique sites:
Hf 0.128 0.201 0.000 x8
Ta 0.000 0.000 0.250 x4
Ta 0.081 0.337 0.500 x8
Ga 0.000 0.500 0.250 x4
Ga 0.145 0.147 0.500 x8
Ga 0.242 0.500 0.250 x8

## Properties
Electronic total energy   -6.997 eV/atom
Formation energy   0.063 eV/atom
Crystal system   orthorhombic
Calculated volume   18.731 A^3/atom


Record 3
VASP calculation (PBE) on an optimized crystal structure of HfTa2Ga.

Unit cell a=7.667 b=7.667 c=5.402 alpha=90.00 beta=90.00 gamma=90.00
Space group I-42d (No. 122)
Unique sites:
Hf 0.000 0.000 0.000 x4
Ta 0.216 0.250 0.625 x8
Ga 0.000 0.000 0.500 x4

## Properties
Electronic total energy   -8.724 eV/atom
Formation energy   0.447 eV/atom
Crystal system   tetragonal
Calculated volume   19.849 A^3/atom


Record 4
VASP calculation (PBE) on an optimized crystal structure of HfTa2Ga2.

Unit cell a=3.651 b=3.651 c=14.434 alpha=90.00 beta=90.00 gamma=90.00
Space group I4/mmm (No. 139)
Unique sites:
Hf 0.000 0.000 0.000 x2
Ta 0.000 0.000 0.402 x4
Ga 0.000 0.500 0.250 x4

## Properties
Electronic total energy   -7.666 eV/atom
Formation energy   0.277 eV/atom
Crystal system   tetragonal
Offset from the most stable computed form   584 meV per atom
Calculated volume   19.245 A^3/atom


Record 5
VASP calculation (PBE) on an optimized crystal structure of Hf3Ta4Ga4.

Unit cell a=7.814 b=7.814 c=7.814 alpha=90.00 beta=90.00 gamma=90.00
Space group I-43m (No. 217)
Unique sites:
Hf 0.000 0.000 0.500 x6
Ta 0.128 0.128 0.128 x8
Ga 0.192 0.192 0.808 x8

## Properties
Electronic total energy   -7.614 eV/atom
Formation energy   0.511 eV/atom
Crystal system   cubic
Calculated volume   21.690 A^3/atom


Record 6
VASP calculation (PBE) on an optimized crystal structure of Hf2TaGa.

Unit cell a=7.677 b=7.677 c=5.581 alpha=90.00 beta=90.00 gamma=90.00
Space group I-42d (No. 122)
Unique sites:
Hf 0.235 0.750 0.125 x8
Ta 0.000 0.000 0.500 x4
Ga 0.000 0.000 0.000 x4

## Properties
Electronic total energy   -8.330 eV/atom
Formation energy   0.367 eV/atom
Crystal system   tetragonal
Calculated volume   20.555 A^3/atom